Record 1
DFT (PBE) results for a relaxed Bi2H2I5 crystal.

Properties
- E_tot: -2.22 eV/atom

Cell and atoms, written as CIF:
```
data_Bi2H2I5
_cell_length_a 8.7769
_cell_length_b 13.0874
_cell_length_c 17.4210
_cell_angle_alpha 90.00
_cell_angle_beta 90.00
_cell_angle_gamma 90.00
_space_group_name_H-M_alt 'F m m m'
_space_group_IT_number 69
_space_group_name_Hall '-F 2 2'
loop_
_atom_site_label
_atom_site_fract_x
_atom_site_fract_y
_atom_site_fract_z
Bi1 0.0000 0.2350 0.0000
H1 0.0000 0.0000 0.2496
I1 0.0000 0.0000 0.0000
I2 0.2500 0.2500 0.1253
```

---

Record 2
DFT (PBE) results for a relaxed Tl2HgGeS4 crystal.

Properties
- Formation energy from raw total energies: -13.7 kJ/mol of atoms

Cell and atoms, written as CIF:
```
data_Tl2HgGeS4
_cell_length_a 11.4099
_cell_length_b 11.2354
_cell_length_c 7.9485
_cell_angle_alpha 90.00
_cell_angle_beta 134.08
_cell_angle_gamma 90.00
_space_group_name_H-M_alt 'C 1 2/c 1'
_space_group_IT_number 15
_space_group_name_Hall '-C 2yc'
loop_
_atom_site_label
_atom_site_fract_x
_atom_site_fract_y
_atom_site_fract_z
Tl1 0.0000 0.0000 0.0000
Tl2 0.2500 0.2500 0.0000
Hg1 0.2500 0.2500 0.5000
Ge1 0.0000 0.5000 0.0000
S1 0.9997 0.2659 0.0098
S2 0.2182 0.4949 0.4682
```

---

Record 3
DFT (PBE) results for a relaxed Pr3YHo6 crystal.

Properties
- E_tot: -4.67 eV/atom

Cell and atoms, written as CIF:
```
data_Pr3YHo6
_cell_length_a 10.9343
_cell_length_b 18.8978
_cell_length_c 6.4104
_cell_angle_alpha 90.00
_cell_angle_beta 90.00
_cell_angle_gamma 90.00
_space_group_name_H-M_alt 'C m c 21'
_space_group_IT_number 36
_space_group_name_Hall 'C 2c -2'
loop_
_atom_site_label
_atom_site_fract_x
_atom_site_fract_y
_atom_site_fract_z
Pr1 0.0000 0.1125 0.0000
Pr2 0.1796 0.3858 0.6027
Y1 0.0000 0.3122 0.9471
Ho1 0.0000 0.2314 0.4186
Ho2 0.0000 0.4659 0.2192
Ho3 0.1698 0.0461 0.5233
Ho4 0.2351 0.2108 0.7023
```